(1)
Entry from the Alexandria database: a geometry-optimized Be3TlS structure (GGA-PBE).

Lattice parameters (Å, degrees): 4.2340 4.2340 4.2340 90.00 90.00 90.00
Space group Pm-3m (No. 221)
Unique sites:
Be1 0.0000 0.0000 0.5000 x3
Tl1 0.5000 0.5000 0.5000 x1
S1 0.0000 0.0000 0.0000 x1

Summary:
The value obtained for the uncorrected formation energy is 699 meV per atom.


(2)
Entry from the Alexandria database: a geometry-optimized Ac2Pr4Tm5 structure (GGA-PBE).

Lattice parameters (Å, degrees): 9.4030 3.6599 12.0193 90.00 108.26 90.00
Space group P2/m (No. 10)
Unique sites:
Ac1 0.1408 0.0000 0.4100 x2
Pr1 0.2428 0.5000 0.7266 x2
Pr2 0.2494 0.5000 0.1495 x2
Tm1 0.0923 0.0000 0.9008 x2
Tm2 0.4959 0.0000 0.6403 x2
Tm3 0.5000 0.0000 0.0000 x1

Summary:
For the energy of formation, the calculation gives 1.6 eV/f.u.


(3)
Entry from the Alexandria database: a geometry-optimized Cu2PtSe structure (GGA-PBE).

Lattice parameters (Å, degrees): 5.3689 7.6440 2.8639 90.00 90.00 90.00
Space group Cmmm (No. 65)
Unique sites:
Cu1 0.2500 0.2500 0.0000 x4
Pt1 0.0000 0.0000 0.5000 x2
Se1 0.0000 0.5000 0.5000 x2

Summary:
The value obtained for the uncorrected formation energy is 83 meV per atom.


(4)
Entry from the Alexandria database: a geometry-optimized Ce2Ga3Cu4Si structure (GGA-PBE).

Lattice parameters (Å, degrees): 4.2068 4.2068 9.8640 90.00 90.00 90.00
Space group P-4m2 (No. 115)
Unique sites:
Ce1 0.0000 0.5000 0.2487 x2
Ga1 0.0000 0.0000 0.0000 x1
Ga2 0.0000 0.5000 0.6318 x2
Cu1 0.0000 0.0000 0.5000 x1
Cu2 0.0000 0.5000 0.8763 x2
Cu3 0.5000 0.5000 0.5000 x1
Si1 0.5000 0.5000 0.0000 x1

Summary:
The value obtained for the uncorrected formation energy is -408 meV per atom.


(5)
Entry from the Alexandria database: a geometry-optimized PrCd11Ni structure (GGA-PBE).

Lattice parameters (Å, degrees): 5.6193 14.3222 7.5739 90.00 110.33 90.00
Space group C2/m (No. 12)
Unique sites:
Pr1 0.0000 0.0000 0.0000 x2
Cd1 0.0000 0.0000 0.5000 x2
Cd2 0.0937 0.3976 0.2188 x8
Cd3 0.1914 0.1692 0.3616 x8
Cd4 0.2500 0.2500 0.0000 x4
Ni1 0.0000 0.5000 0.5000 x2

Summary:
For the energy of formation, the calculation gives -1.4 eV/f.u.


(6)
Entry from the Alexandria database: a geometry-optimized BaPb2O3 structure (GGA-PBE).

Lattice parameters (Å, degrees): 11.1710 6.4722 6.8876 90.00 90.00 90.00
Space group Cmcm (No. 63)
Unique sites:
Ba1 0.0000 0.0018 0.2500 x4
Pb1 0.1667 0.5000 0.0000 x8
O1 0.0000 0.3904 0.2500 x4
O2 0.1941 0.1946 0.7500 x8

Summary:
The value obtained for the uncorrected formation energy is -1231 meV per atom.


(7)
Entry from the Alexandria database: a geometry-optimized DyMgGa2Pd5 structure (GGA-PBE).

Lattice parameters (Å, degrees): 4.1508 4.1508 9.2720 90.00 90.00 90.00
Space group P4/mmm (No. 123)
Unique sites:
Dy1 0.0000 0.0000 0.0000 x1
Mg1 0.0000 0.0000 0.5000 x1
Ga1 0.5000 0.5000 0.3690 x2
Pd1 0.0000 0.5000 0.2240 x4
Pd2 0.5000 0.5000 0.0000 x1

Summary:
For the energy of formation, the calculation gives -6.2 eV/f.u.


(8)
Entry from the Alexandria database: a geometry-optimized SrTb2Pb9 structure (GGA-PBE).

Lattice parameters (Å, degrees): 4.9732 4.9732 14.5447 90.00 90.00 90.00
Space group P4/mmm (No. 123)
Unique sites:
Sr1 0.0000 0.0000 0.0000 x1
Tb1 0.0000 0.0000 0.3394 x2
Pb1 0.0000 0.5000 0.1732 x4
Pb2 0.0000 0.5000 0.5000 x2
Pb3 0.5000 0.5000 0.0000 x1
Pb4 0.5000 0.5000 0.3359 x2

Summary:
For the energy of formation, the calculation gives -3.8 eV/f.u.


> Which formula does entry 2 have?

Ac2Pr4Tm5